[1]
A geometry-optimized RbCrInCl6 structure, computed with PBE.

The value obtained for the total magnetization is 8.0 μB per cell. The value obtained for the final energy is -35.80 eV per formula unit.

It has space group C2 (No. 5), with a = 6.9085 Å, b = 11.1518 Å, c = 7.3434 Å, α = 90.00°, β = 93.52° and γ = 90.00°. The inequivalent atoms are Rb at (0.0000, 0.0000, 0.0000), Cr at (0.0000, 0.6797, 0.5000), In at (0.0000, 0.3388, 0.5000), Cl at (0.1224, 0.5223, 0.6954), Cl at (0.1762, 0.2031, 0.7211) and Cl at (0.1820, 0.8274, 0.6776).

[2]
A geometry-optimized Rb3Cr2InCl9 structure, computed with PBE.

The value obtained for the total magnetization is 7.0 μB per cell. The value obtained for the final energy is -62.34 eV per formula unit.

It has space group P-3m1 (No. 164), with a = 7.2619 Å, b = 7.2619 Å, c = 9.3070 Å, α = 90.00°, β = 90.00° and γ = 120.00°. The inequivalent atoms are Rb at (0.0000, 0.0000, 0.0000), Rb at (0.3333, 0.6667, 0.6855), Cr at (0.3333, 0.6667, 0.1530), In at (0.0000, 0.0000, 0.5000), Cl at (0.0000, 0.5000, 0.0000) and Cl at (0.1779, 0.3559, 0.3000).

[3]
A geometry-optimized CrInRe2Cl structure, computed with PBE.

The value obtained for the total magnetization is 1.9 μB per cell. The value obtained for the final energy is -27.04 eV per formula unit. Its polymorph energy (0 for the lowest one) is 0 meV/atom.

It has space group P4/mmm (No. 123), with a = 5.1593 Å, b = 5.1593 Å, c = 5.1406 Å, α = 90.00°, β = 90.00° and γ = 90.00°. The inequivalent atoms are Cr at (0.0000, 0.0000, 0.0000), In at (0.5000, 0.5000, 0.5000), Re at (0.0000, 0.5000, 0.5000) and Cl at (0.5000, 0.5000, 0.0000).

[4]
A geometry-optimized CrInRe2Cl structure, computed with PBE.

The value obtained for the total magnetization is 12.0 μB per cell. The value obtained for the final energy is -26.30 eV per formula unit. Its polymorph energy (0 for the lowest one) is 148 meV/atom.

It has space group P4/mmm (No. 123), with a = 5.1885 Å, b = 5.1885 Å, c = 5.3048 Å, α = 90.00°, β = 90.00° and γ = 90.00°. The inequivalent atoms are Cr at (0.0000, 0.0000, 0.0000), In at (0.0000, 0.0000, 0.5000), Re at (0.0000, 0.5000, 0.5000) and Cl at (0.5000, 0.5000, 0.0000).

[5]
A geometry-optimized CrInS2Cl structure, computed with PBE.

The value obtained for the total magnetization is 4.0 μB per cell. The value obtained for the final energy is -21.16 eV per formula unit. Its polymorph energy (0 for the lowest one) is 597 meV/atom.

It has space group P4/mmm (No. 123), with a = 4.9998 Å, b = 4.9998 Å, c = 4.9652 Å, α = 90.00°, β = 90.00° and γ = 90.00°. The inequivalent atoms are Cr at (0.0000, 0.0000, 0.0000), In at (0.5000, 0.5000, 0.5000), S at (0.0000, 0.5000, 0.5000) and Cl at (0.5000, 0.5000, 0.0000).

[6]
A geometry-optimized CrInS2Cl structure, computed with PBE.

The value obtained for the total magnetization is 2.1 μB per cell. The value obtained for the final energy is -24.14 eV per formula unit. Its polymorph energy (0 for the lowest one) is 0 meV/atom.

It has space group P4/mmm (No. 123), with a = 4.6889 Å, b = 4.6889 Å, c = 4.9683 Å, α = 90.00°, β = 90.00° and γ = 90.00°. The inequivalent atoms are Cr at (0.0000, 0.0000, 0.0000), In at (0.5000, 0.5000, 0.5000), S at (0.0000, 0.5000, 0.0000) and Cl at (0.0000, 0.0000, 0.5000).

[7]
A geometry-optimized ScCrInCl6 structure, computed with PBE.

The value obtained for the total magnetization is 4.0 μB per cell. The value obtained for the final energy is -42.71 eV per formula unit.

It has space group P1 (No. 1), with a = 6.4682 Å, b = 6.4699 Å, c = 7.0775 Å, α = 91.55°, β = 91.64° and γ = 116.66°. The inequivalent atoms are Sc at (0.0000, 0.0000, 0.0000), Cr at (0.6605, 0.3397, 0.0002), In at (0.3249, 0.6751, 0.5004), Cl at (0.3065, 0.0309, 0.2254), Cl at (0.3243, 0.3049, 0.8188), Cl at (0.6957, 0.6757, 0.1815), Cl at (0.6977, 0.0578, 0.7972), Cl at (0.9427, 0.3022, 0.2029) and Cl at (0.9684, 0.6941, 0.7739).

[8]
A geometry-optimized CrInSeCl2 structure, computed with PBE.

The value obtained for the total magnetization is 4.7 μB per cell. The value obtained for the final energy is -19.89 eV per formula unit.

It has space group P4/mmm (No. 123), with a = 5.0478 Å, b = 5.0478 Å, c = 5.4585 Å, α = 90.00°, β = 90.00° and γ = 90.00°. The inequivalent atoms are Cr at (0.0000, 0.0000, 0.0000), In at (0.5000, 0.5000, 0.5000), Se at (0.5000, 0.5000, 0.0000) and Cl at (0.0000, 0.5000, 0.5000).

[9]
A geometry-optimized CrIn2SnCl6 structure, computed with PBE.

The value obtained for the total magnetization is 4.0 μB per cell. The value obtained for the final energy is -39.04 eV per formula unit.

It has space group P-1 (No. 2), with a = 7.2976 Å, b = 7.3003 Å, c = 7.3031 Å, α = 61.92°, β = 61.95° and γ = 61.92°. The inequivalent atoms are Cr at (0.0000, 0.0000, 0.0000), In at (0.2270, 0.2273, 0.2269), Sn at (0.5000, 0.5000, 0.5000), Cl at (0.1675, 0.7800, 0.2989), Cl at (0.2206, 0.7015, 0.8319) and Cl at (0.2986, 0.1681, 0.7810).

[10]
A geometry-optimized CrInSnCl6 structure, computed with PBE.

The value obtained for the total magnetization is 3.0 μB per cell. The value obtained for the final energy is -36.48 eV per formula unit.

It has space group P312 (No. 149), with a = 6.9217 Å, b = 6.9217 Å, c = 6.6514 Å, α = 90.00°, β = 90.00° and γ = 120.00°. The inequivalent atoms are Cr at (0.0000, 0.0000, 0.0000), In at (0.3333, 0.6667, 0.5000), Sn at (0.6667, 0.3333, 0.0000) and Cl at (0.2817, 0.0067, 0.2095).

[11]
A geometry-optimized SrCrIn2Cl structure, computed with PBE.

The value obtained for the total magnetization is 4.1 μB per cell. The value obtained for the final energy is -18.12 eV per formula unit.

It has space group P4/mmm (No. 123), with a = 5.9020 Å, b = 5.9020 Å, c = 4.5596 Å, α = 90.00°, β = 90.00° and γ = 90.00°. The inequivalent atoms are Sr at (0.0000, 0.0000, 0.0000), Cr at (0.5000, 0.5000, 0.0000), In at (0.0000, 0.5000, 0.5000) and Cl at (0.5000, 0.5000, 0.5000).

[12]
A geometry-optimized CrInTeCl2 structure, computed with PBE.

The value obtained for the total magnetization is 3.3 μB per cell. The value obtained for the final energy is -21.97 eV per formula unit.

It has space group P4/mmm (No. 123), with a = 4.7692 Å, b = 4.7692 Å, c = 5.7081 Å, α = 90.00°, β = 90.00° and γ = 90.00°. The inequivalent atoms are Cr at (0.0000, 0.0000, 0.0000), In at (0.5000, 0.5000, 0.5000), Te at (0.0000, 0.0000, 0.5000) and Cl at (0.0000, 0.5000, 0.0000).